1.
A relaxed structure of Ho3Er2In4. Source: Alexandria via LeMat-Bulk, functional PBE-GGA.

Unit cell a=6.946 b=9.693 c=8.468 alpha=90.00 beta=114.21 gamma=90.00
Positions (direct):
Ho 0.000 0.000 0.000
Ho 0.500 0.500 0.000
Ho 0.532 0.750 0.564
Ho 0.968 0.250 0.436
Ho 0.468 0.250 0.436
Ho 0.032 0.750 0.564
Er 0.107 0.542 0.214
Er 0.893 0.458 0.786
Er 0.393 0.042 0.786
Er 0.607 0.958 0.214
In 0.739 0.750 0.977
In 0.761 0.250 0.023
In 0.261 0.250 0.023
In 0.239 0.750 0.977
In 0.195 0.977 0.389
In 0.805 0.023 0.611
In 0.305 0.477 0.611
In 0.695 0.523 0.389

Computed properties:
Uncorrected energy   -71.81 eV per cell
Calculated volume   28.88 Å³/atom
DOS at the Fermi energy   13.6 states/eV/cell
Formation energy   -232 meV/atom

=====

2.
A relaxed structure of LaHoErIn. Source: Alexandria via LeMat-Bulk, functional PBE-GGA.

Unit cell a=5.464 b=5.464 c=5.468 alpha=119.98 beta=119.98 gamma=90.00
Site moments in Bohr magnetons follow the coordinates.
Positions (direct):
La 0.750 0.250 0.500  -0.10
Ho 0.500 0.500 0.000  -0.09
Er 0.000 0.000 0.000  -0.10
In 0.250 0.750 0.500  0.00

Computed properties:
Uncorrected energy   -17.12 eV per cell
Calculated volume   28.87 Å³/atom
Energy above the most stable polymorph in this dataset   0.066 eV/atom
DOS at the Fermi energy   7.7 states/eV/cell
Formation energy   -79 meV/atom

=====

> The lowest calculated volume belongs to which entry?

LaHoErIn

=====

Repeat the second record exactly.
A relaxed structure of LaHoErIn. Source: Alexandria via LeMat-Bulk, functional PBE-GGA.

Unit cell a=5.464 b=5.464 c=5.468 alpha=119.98 beta=119.98 gamma=90.00
Site moments in Bohr magnetons follow the coordinates.
Positions (direct):
La 0.750 0.250 0.500  -0.10
Ho 0.500 0.500 0.000  -0.09
Er 0.000 0.000 0.000  -0.10
In 0.250 0.750 0.500  0.00

Computed properties:
Uncorrected energy   -17.12 eV per cell
Calculated volume   28.87 Å³/atom
Energy above the most stable polymorph in this dataset   0.066 eV/atom
DOS at the Fermi energy   7.7 states/eV/cell
Formation energy   -79 meV/atom

=====

> Number 2 is which compound?

LaHoErIn

=====

> Which value of uncorrected energy does entry 1 give?

-71.81 eV per cell